A plane-wave DFT calculation with PBE-GGA was carried out for a relaxed structure of ErPuTh2P4.

Unit cell a=4.0909 b=7.0625 c=7.0181 alpha=109.73 beta=90.00 gamma=90.00
Atoms (fractional coordinates):
Th 0.0000 0.5000 0.5000
Th 0.5000 0.0000 0.5000
P 0.5000 0.2471 0.2403
P 0.5000 0.7529 0.7597
P 0.0000 0.2540 0.7587
P 0.0000 0.7460 0.2413
Pu 0.0000 0.0000 0.0000
Er 0.5000 0.5000 0.0000

Calculated values
* volume: 23.86 A^3/atom
* raw total energy: -8.400 eV per atom
* total moment: 5.53 Bohr magnetons per cell
* space group: P2/m, No. 10

***

A plane-wave DFT calculation with PBE-GGA was carried out for a relaxed structure of ReNiOs2.

Unit cell a=5.4624 b=5.4624 c=6.6124 alpha=65.60 beta=65.60 gamma=90.00
Atoms (fractional coordinates):
Os 0.3750 0.3931 0.7500
Os 0.8750 0.8569 0.7500
Os 0.6069 0.1250 0.2500
Os 0.1431 0.6250 0.2500
Ni 0.5000 0.5000 0.0000
Ni 0.2500 0.7500 0.5000
Re 0.0000 0.0000 0.0000
Re 0.7500 0.2500 0.5000

Calculated values
* volume: 20.02 A^3/atom
* raw total energy: -8.828 eV per atom
* total moment: 0.00 Bohr magnetons per cell
* energy above the lowest structure with this stoichiometry: 1242 meV/atom
* space group: I-42d, No. 122

***

A plane-wave DFT calculation with PBE-GGA was carried out for a relaxed structure of PdNCl3.

Unit cell a=4.4251 b=4.4251 c=4.4251 alpha=90.00 beta=90.00 gamma=90.00
Atoms (fractional coordinates):
Cl 0.5000 0.0000 0.0000
Cl 0.0000 0.5000 0.0000
Cl 0.0000 0.0000 0.5000
N 0.0000 0.0000 0.0000
Pd 0.5000 0.5000 0.5000

Calculated values
* volume: 17.33 A^3/atom
* raw total energy: -2.683 eV per atom
* formation energy from raw total energies: 1.128 eV/atom
* total moment: 1.07 Bohr magnetons per cell
* energy above the lowest structure with this stoichiometry: 1261 meV/atom
* space group: Pm-3m, No. 221